1.
An optimized crystal structure of La2CuPbO6, computed with PBE-GGA.

```
La2CuPbO6
1.0
-1.890 1.196 5.192
-1.657 -5.468 0.656
7.844 -1.898 3.985
O La Cu Pb
12 4 2 2
direct
0.877 0.550 0.229 O
0.273 0.703 0.421 O
0.773 0.797 0.921 O
0.227 0.203 0.079 O
0.307 0.722 0.061 O
0.377 0.950 0.729 O
0.623 0.050 0.271 O
0.807 0.778 0.561 O
0.693 0.278 0.939 O
0.727 0.297 0.579 O
0.193 0.222 0.439 O
0.123 0.450 0.771 O
0.970 0.050 0.740 La
0.030 0.950 0.260 La
0.530 0.550 0.760 La
0.470 0.450 0.240 La
0.000 0.500 0.500 Cu
0.500 0.000 0.000 Cu
0.000 0.500 0.000 Pb
0.500 0.000 0.500 Pb
```

Summary:
ΔE_f (raw) ... -2.07 eV per atom
Crystal system ... monoclinic
D(E_F) ... 0.39 states/eV/f.u.



2.
An optimized crystal structure of LaCuPb2O4, computed with PBE-GGA.

```
LaCuPb2O4
1.0
-2.440 1.688 -1.831
-2.948 -4.566 3.040
-1.923 7.633 9.601
Pb La O Cu
4 2 8 2
direct
0.632 0.265 0.051 Pb
0.632 0.265 0.449 Pb
0.368 0.735 0.551 Pb
0.368 0.735 0.949 Pb
0.901 0.802 0.250 La
0.099 0.198 0.750 La
0.556 0.113 0.250 O
0.310 0.619 0.141 O
0.444 0.887 0.750 O
0.690 0.381 0.641 O
0.690 0.381 0.859 O
0.310 0.619 0.359 O
0.000 0.000 0.500 O
0.000 0.000 0.000 O
0.826 0.653 0.750 Cu
0.174 0.347 0.250 Cu
```

Summary:
ΔE_f (raw) ... -1.51 eV per atom
Crystal system ... orthorhombic



3.
An optimized crystal structure of La3ZnCuRh2PbO12, computed with PBE-GGA.

```
La3ZnCuRh2PbO12
1.0
5.568 0.026 -0.006
-0.037 5.749 -0.012
-0.045 -0.090 7.936
O Rh La Zn Pb Cu
12 2 3 1 1 1
direct
0.810 0.298 0.059 O
0.714 0.795 0.049 O
0.688 0.791 0.448 O
0.307 0.201 0.548 O
0.198 0.691 0.547 O
0.206 0.720 0.941 O
0.794 0.308 0.444 O
0.304 0.201 0.954 O
0.090 0.952 0.245 O
0.385 0.470 0.256 O
0.906 0.035 0.752 O
0.598 0.525 0.746 O
0.494 0.500 0.498 Rh
0.005 0.004 0.002 Rh
0.016 0.445 0.753 La
0.513 0.056 0.246 La
0.490 0.943 0.749 La
0.002 0.000 0.500 Zn
0.981 0.560 0.259 Pb
0.499 0.504 0.002 Cu
```

Summary:
ΔE_f (raw) ... -1.83 eV per atom
Crystal system ... triclinic
D(E_F) ... 11.01 states/eV/f.u.



4.
An optimized crystal structure of La2CuPdO5, computed with PBE-GGA.

```
La2CuPdO5
1.0
5.725 0.000 0.000
0.000 6.964 0.000
0.000 0.000 6.964
Cu La Pd O
2 4 2 10
direct
0.000 0.500 0.500 Cu
0.000 0.000 0.000 Cu
0.500 0.823 0.677 La
0.500 0.177 0.323 La
0.500 0.323 0.823 La
0.500 0.677 0.177 La
0.000 0.000 0.500 Pd
0.000 0.500 0.000 Pd
0.249 0.362 0.138 O
0.751 0.138 0.638 O
0.751 0.638 0.862 O
0.751 0.862 0.362 O
0.249 0.862 0.362 O
0.249 0.138 0.638 O
0.751 0.362 0.138 O
0.249 0.638 0.862 O
0.500 0.500 0.500 O
0.500 0.000 0.000 O
```

Summary:
ΔE_f (raw) ... -1.78 eV per atom
Crystal system ... tetragonal
D(E_F) ... 7.83 states/eV/f.u.



5.
An optimized crystal structure of La2Cu2PdO6, computed with PBE-GGA.

```
La2Cu2PdO6
1.0
5.865 0.000 0.000
2.933 5.080 0.000
2.933 1.693 5.089
Pd O La Cu
1 6 2 2
direct
0.000 0.000 0.000 Pd
0.240 0.796 0.724 O
0.204 0.760 0.276 O
0.760 0.760 0.276 O
0.796 0.240 0.724 O
0.240 0.240 0.724 O
0.760 0.204 0.276 O
0.786 0.786 0.641 La
0.214 0.214 0.359 La
0.585 0.585 0.245 Cu
0.415 0.415 0.755 Cu
```

Summary:
ΔE_f (raw) ... -1.59 eV per atom
Crystal system ... trigonal
D(E_F) ... 8.17 states/eV/f.u.



6.
An optimized crystal structure of La2CuPdO6, computed with PBE-GGA.

```
La2CuPdO6
1.0
-3.049 2.581 -3.926
-4.752 -2.689 1.923
-1.348 5.933 4.965
Pd O La Cu
2 12 4 2
direct
0.000 0.500 0.000 Pd
0.500 0.000 0.500 Pd
0.798 0.794 0.953 O
0.909 0.526 0.253 O
0.298 0.706 0.453 O
0.202 0.206 0.047 O
0.297 0.704 0.047 O
0.702 0.294 0.547 O
0.591 0.026 0.247 O
0.203 0.204 0.453 O
0.409 0.974 0.753 O
0.797 0.796 0.547 O
0.703 0.296 0.953 O
0.091 0.474 0.747 O
0.487 0.443 0.249 La
0.013 0.943 0.251 La
0.987 0.057 0.749 La
0.513 0.557 0.751 La
0.500 0.000 0.000 Cu
0.000 0.500 0.500 Cu
```

Summary:
ΔE_f (raw) ... -1.99 eV per atom
Crystal system ... monoclinic
D(E_F) ... 3.66 states/eV/f.u.